Record 1
## K2LiTc (GGA-PBEsol)

Data for crystalline K2LiTc at its relaxed geometry.

size of the total moment = 0.000 μB per formula unit
offset from the most stable computed form = 0.000 eV per atom
space group = R3m, No. 160
VASP energy = -11.0 eV/cell

a b c (Å): 12.605 12.605 12.605
angles (deg): 13.91 13.91 13.91
Element x y z (fractional)
K 0.000 0.000 0.000
K 0.223 0.223 0.223
Li 0.464 0.464 0.464
Tc 0.741 0.741 0.741

***

Record 2
## Tc2NiAg (GGA-PBEsol)

Data for crystalline Tc2NiAg at its relaxed geometry.

size of the total moment = 0.001 μB per formula unit
space group = I-4m2, No. 119
VASP energy = -30.6 eV/cell

a b c (Å): 4.602 4.602 4.602
angles (deg): 131.05 131.05 71.74
Element x y z (fractional)
Tc 0.000 0.000 0.000
Tc 0.750 0.250 0.500
Ni 0.250 0.750 0.500
Ag 0.500 0.500 0.000

***

Record 3
## ThCdPd2 (GGA-PBEsol)

Data for crystalline ThCdPd2 at its relaxed geometry.

size of the total moment = 0.000 μB per formula unit
space group = Fm-3m, No. 225
VASP energy = -23.7 eV/cell

a b c (Å): 4.848 4.848 4.848
angles (deg): 60.00 60.00 60.00
Element x y z (fractional)
Th 0.000 0.000 0.000
Cd 0.500 0.500 0.500
Pd 0.250 0.250 0.250
Pd 0.750 0.750 0.750

***

Record 4
## K2CoPt (GGA-PBEsol)

Data for crystalline K2CoPt at its relaxed geometry.

size of the total moment = 1.710 μB per formula unit
space group = Cmmm, No. 65
VASP energy = -13.7 eV/cell

a b c (Å): 5.810 5.810 2.878
angles (deg): 90.00 90.00 123.45
Element x y z (fractional)
K 0.000 0.500 0.000
K 0.500 0.000 0.000
Co 0.000 0.000 0.500
Pt 0.500 0.500 0.500

***

no.,energy of formation from the pure elements (kJ/mol of formula units),N(E_F) (states/eV/atom)
1,430,0.97
2,138,0.98
3,-242,0.50
4,317,0.88